# 1
## TcMo2Au (PBE)

Data for a relaxed TcMo2Au crystal.

Values from the calculation:
Crystal system ... monoclinic
Spin magnetization ... 0.000 μB per formula unit
Calculated total energy ... -8.542 eV per atom
Energy above the lowest structure with this stoichiometry ... 0.555 eV per formula unit

The structure in CIF format:
```
data_TcMo2Au
_chemical_formula_sum 'Tc2 Mo4 Au2'
_symmetry_space_group_name_H-M 'C 1 2/m 1'
_symmetry_Int_Tables_number 12
_cell_length_a 9.360
_cell_length_b 2.921
_cell_length_c 4.766
_cell_angle_alpha 90.00
_cell_angle_beta 102.05
_cell_angle_gamma 90.00
loop_
_symmetry_equiv_pos_as_xyz
'x,y,z'
'-x,-y,-z'
'-x,y,-z'
'x,-y,z'
'x+1/2,y+1/2,z'
'-x+1/2,-y+1/2,-z'
'-x+1/2,y+1/2,-z'
'x+1/2,-y+1/2,z'
loop_
_atom_site_label
_atom_site_fract_x
_atom_site_fract_y
_atom_site_fract_z
Tc1 0.000 0.000 0.000
Mo1 0.245 0.500 0.240
Au1 0.000 0.500 0.500
```

# 2
## TcMo2Au (PBE)

Data for a relaxed TcMo2Au crystal.

Values from the calculation:
Crystal system ... tetragonal
Spin magnetization ... 0.000 μB per formula unit
Calculated total energy ... -8.651 eV per atom
Energy above the lowest structure with this stoichiometry ... 0.120 eV per formula unit

The structure in CIF format:
```
data_TcMo2Au
_chemical_formula_sum 'Tc1 Mo2 Au1'
_symmetry_space_group_name_H-M 'P 4/m m m'
_symmetry_Int_Tables_number 123
_symmetry_space_group_name_Hall '-P 4 2'
_cell_length_a 2.792
_cell_length_b 2.792
_cell_length_c 8.215
_cell_angle_alpha 90.00
_cell_angle_beta 90.00
_cell_angle_gamma 90.00
loop_
_atom_site_label
_atom_site_fract_x
_atom_site_fract_y
_atom_site_fract_z
Tc1 0.000 0.000 0.000
Mo1 0.500 0.500 0.229
Au1 0.000 0.000 0.500
```

# 3
## Tc2MoAu (PBE)

Data for a relaxed Tc2MoAu crystal.

Values from the calculation:
Crystal system ... monoclinic
Spin magnetization ... 0.000 μB per formula unit
Calculated total energy ... -8.471 eV per atom
Energy above the lowest structure with this stoichiometry ... 0.303 eV per formula unit

The structure in CIF format:
```
data_Tc2MoAu
_chemical_formula_sum 'Tc4 Mo2 Au2'
_symmetry_space_group_name_H-M 'C 1 m 1'
_symmetry_Int_Tables_number 8
_cell_length_a 9.349
_cell_length_b 2.860
_cell_length_c 4.788
_cell_angle_alpha 90.00
_cell_angle_beta 101.33
_cell_angle_gamma 90.00
loop_
_symmetry_equiv_pos_as_xyz
'x,y,z'
'x,-y,z'
'x+1/2,y+1/2,z'
'x+1/2,-y+1/2,z'
loop_
_atom_site_label
_atom_site_fract_x
_atom_site_fract_y
_atom_site_fract_z
Tc1 0.000 0.000 0.000
Tc2 0.239 0.500 0.208
Mo1 0.251 0.000 0.758
Au1 0.495 0.000 0.491
```

# 4
## Tc2MoAu (PBE)

Data for a relaxed Tc2MoAu crystal.

Values from the calculation:
Crystal system ... tetragonal
Spin magnetization ... 0.000 μB per formula unit
Calculated total energy ... -7.933 eV per atom
Energy above the lowest structure with this stoichiometry ... 2.454 eV per formula unit

The structure in CIF format:
```
data_Tc2MoAu
_chemical_formula_sum 'Tc8 Mo4 Au4'
_symmetry_space_group_name_H-M 'I -4 2 d'
_symmetry_Int_Tables_number 122
_symmetry_space_group_name_Hall 'I -4 2bw'
_cell_length_a 3.891
_cell_length_b 3.891
_cell_length_c 18.352
_cell_angle_alpha 90.00
_cell_angle_beta 90.00
_cell_angle_gamma 90.00
loop_
_atom_site_label
_atom_site_fract_x
_atom_site_fract_y
_atom_site_fract_z
Tc1 0.196 0.250 0.125
Mo1 0.000 0.000 0.000
Au1 0.000 0.000 0.500
```

# 5
## TcMoAu2 (PBE)

Data for a relaxed TcMoAu2 crystal.

Values from the calculation:
Crystal system ... tetragonal
Spin magnetization ... 0.000 μB per formula unit
Calculated total energy ... -6.610 eV per atom
Energy above the lowest structure with this stoichiometry ... 0.549 eV per formula unit

The structure in CIF format:
```
data_TcMoAu2
_chemical_formula_sum 'Tc1 Mo1 Au2'
_symmetry_space_group_name_H-M 'P 4/m m m'
_symmetry_Int_Tables_number 123
_symmetry_space_group_name_Hall '-P 4 2'
_cell_length_a 3.862
_cell_length_b 3.862
_cell_length_c 4.376
_cell_angle_alpha 90.00
_cell_angle_beta 90.00
_cell_angle_gamma 90.00
loop_
_atom_site_label
_atom_site_fract_x
_atom_site_fract_y
_atom_site_fract_z
Tc1 0.000 0.000 0.000
Mo1 0.500 0.500 0.000
Au1 0.000 0.500 0.500
```

# 6
## Tc2MoAu (PBE)

Data for a relaxed Tc2MoAu crystal.

Values from the calculation:
Crystal system ... cubic
Spin magnetization ... 0.000 μB per formula unit
Calculated total energy ... -8.236 eV per atom
Energy above the lowest structure with this stoichiometry ... 1.243 eV per formula unit

The structure in CIF format:
```
data_Tc2MoAu
_chemical_formula_sum 'Tc8 Mo4 Au4'
_symmetry_space_group_name_H-M 'F -4 3 m'
_symmetry_Int_Tables_number 216
_symmetry_space_group_name_Hall 'F -4 2 3'
_cell_length_a 6.324
_cell_length_b 6.324
_cell_length_c 6.324
_cell_angle_alpha 90.00
_cell_angle_beta 90.00
_cell_angle_gamma 90.00
loop_
_atom_site_label
_atom_site_fract_x
_atom_site_fract_y
_atom_site_fract_z
Tc1 0.000 0.000 0.000
Tc2 0.250 0.250 0.250
Mo1 0.250 0.250 0.750
Au1 0.000 0.000 0.500
```

# 7
## Tc2MoAu (PBE)

Data for a relaxed Tc2MoAu crystal.

Values from the calculation:
Crystal system ... monoclinic
Spin magnetization ... 0.000 μB per formula unit
Calculated total energy ... -8.458 eV per atom
Energy above the lowest structure with this stoichiometry ... 0.356 eV per formula unit

The structure in CIF format:
```
data_Tc2MoAu
_chemical_formula_sum 'Tc4 Mo2 Au2'
_symmetry_space_group_name_H-M 'C 1 2/m 1'
_symmetry_Int_Tables_number 12
_cell_length_a 9.267
_cell_length_b 2.847
_cell_length_c 4.851
_cell_angle_alpha 90.00
_cell_angle_beta 101.23
_cell_angle_gamma 90.00
loop_
_symmetry_equiv_pos_as_xyz
'x,y,z'
'-x,-y,-z'
'-x,y,-z'
'x,-y,z'
'x+1/2,y+1/2,z'
'-x+1/2,-y+1/2,-z'
'-x+1/2,y+1/2,-z'
'x+1/2,-y+1/2,z'
loop_
_atom_site_label
_atom_site_fract_x
_atom_site_fract_y
_atom_site_fract_z
Tc1 0.244 0.000 0.228
Mo1 0.000 0.500 0.000
Au1 0.000 0.000 0.500
```

# 8
## Tc2MoAu (PBE)

Data for a relaxed Tc2MoAu crystal.

Values from the calculation:
Crystal system ... tetragonal
Spin magnetization ... 0.000 μB per formula unit
Calculated total energy ... -8.450 eV per atom
Energy above the lowest structure with this stoichiometry ... 0.387 eV per formula unit

The structure in CIF format:
```
data_Tc2MoAu
_chemical_formula_sum 'Tc2 Mo1 Au1'
_symmetry_space_group_name_H-M 'P 4/m m m'
_symmetry_Int_Tables_number 123
_symmetry_space_group_name_Hall '-P 4 2'
_cell_length_a 3.268
_cell_length_b 3.268
_cell_length_c 5.945
_cell_angle_alpha 90.00
_cell_angle_beta 90.00
_cell_angle_gamma 90.00
loop_
_atom_site_label
_atom_site_fract_x
_atom_site_fract_y
_atom_site_fract_z
Tc1 0.000 0.000 0.226
Mo1 0.500 0.500 0.000
Au1 0.500 0.500 0.500
```